# 1
This record from the Alexandria database describes an optimized crystal structure of BeFeHg2. The functional is PBE-GGA.

Properties
The formation energy comes out at 0.6052 eV/atom. The value obtained for the total magnetization is 2.2 μB/f.u. Its total energy is -2.59 eV per atom. The calculation puts the volume at 131.2 Å³ per cell.

Cell: 3.863 3.863 8.792 Å, 90.00 90.00 90.00°
Space group I-4m2 (No. 119)
One atom of each set of equivalent atoms:
1 Be 0.000 0.000 0.000 x2
2 Fe 0.000 0.500 0.750 x2
3 Hg 0.000 0.000 0.500 x2
4 Hg 0.000 0.500 0.250 x2

# 2
This record from the Alexandria database describes an optimized crystal structure of LaSm2Th2. The functional is PBE-GGA.

Properties
The formation energy comes out at 0.0424 eV/atom. The value obtained for the total magnetization is 0.0 μB/f.u. Its total energy is -5.80 eV per atom. The calculation puts the volume at 168.9 Å³ per cell.

Cell: 3.6186 3.6186 14.8915 Å, 90.00 90.00 120.00°
Space group P-3m1 (No. 164)
One atom of each set of equivalent atoms:
1 La 0.0000 0.0000 0.0000 x1
2 Sm 0.3333 0.6667 0.7963 x2
3 Th 0.3333 0.6667 0.4035 x2

# 3
This record from the Alexandria database describes an optimized crystal structure of KRe2BiTe. The functional is PBE-GGA.

Properties
The uncorrected formation energy comes out at 294.1 kJ per mole of atoms. The value obtained for the total magnetization is 5.0 μB/f.u. Its total energy is -3.56 eV per atom. The calculation puts the volume at 137.4 Å³ per cell.

Cell: 4.902 4.902 5.720 Å, 90.00 90.00 90.00°
Space group P4/mmm (No. 123)
One atom of each set of equivalent atoms:
1 K 0.000 0.000 0.000 x1
2 Re 0.000 0.500 0.000 x2
3 Bi 0.500 0.500 0.500 x1
4 Te 0.000 0.000 0.500 x1

# 4
This record from the Alexandria database describes an optimized crystal structure of SiRhAuS. The functional is PBE-GGA.

Properties
The uncorrected formation energy comes out at -19.1 kJ per mole of atoms. The value obtained for the total magnetization is 0.0 μB/f.u. The value obtained for the excess energy over the best structure of this formula in the dataset is 0.000 eV/atom. Its total energy is -5.24 eV per atom. The calculation puts the volume at 69.5 Å³ per cell.

Cell: 2.884 2.884 8.354 Å, 90.00 90.09 90.00°
Space group Pm (No. 6)
One atom of each set of equivalent atoms:
1 Si 0.000 0.000 0.000 x1
2 Rh 0.501 0.500 0.147 x1
3 Au 0.002 0.000 0.403 x1
4 S 0.998 0.000 0.741 x1

# 5
This record from the Alexandria database describes an optimized crystal structure of BaCdNi2. The functional is PBE-GGA.

Properties
The formation energy comes out at 0.3827 eV/atom. The value obtained for the total magnetization is 0.0 μB/f.u. Its total energy is -3.22 eV per atom. The calculation puts the volume at 165.4 Å³ per cell.

Cell: 6.972 6.936 3.421 Å, 90.00 90.13 90.00°
Space group C2/m (No. 12)
One atom of each set of equivalent atoms:
1 Ba 0.000 0.000 0.000 x2
2 Cd 0.000 0.500 0.000 x2
3 Ni 0.250 0.250 0.500 x4

# 6
This record from the Alexandria database describes an optimized crystal structure of MgSb3Au. The functional is PBE-GGA.

Properties
The uncorrected formation energy comes out at 68.7 kJ per mole of atoms. The value obtained for the total magnetization is 0.0 μB/f.u. Its total energy is -2.74 eV per atom. The calculation puts the volume at 148.9 Å³ per cell.

Cell: 5.300 5.300 5.300 Å, 90.00 90.00 90.00°
Space group Pm-3m (No. 221)
One atom of each set of equivalent atoms:
1 Mg 0.000 0.000 0.000 x1
2 Sb 0.000 0.000 0.500 x3
3 Au 0.500 0.500 0.500 x1

# 7
This record from the Alexandria database describes an optimized crystal structure of Y2AsSe. The functional is PBE-GGA.

Properties
The uncorrected formation energy comes out at -127.7 kJ per mole of atoms. The value obtained for the total magnetization is 0.0 μB/f.u. The value obtained for the excess energy over the best structure of this formula in the dataset is 0.401 eV/atom. Its total energy is -6.59 eV per atom. The calculation puts the volume at 93.0 Å³ per cell.

Cell: 3.555 3.651 7.237 Å, 90.00 98.21 90.00°
Space group P2/m (No. 10)
One atom of each set of equivalent atoms:
1 Y 0.044 0.000 0.259 x2
2 As 0.500 0.500 0.500 x1
3 Se 0.500 0.500 0.000 x1

# 8
This record from the Alexandria database describes an optimized crystal structure of Cs2TmBiSe4. The functional is PBE-GGA.

Properties
The uncorrected formation energy comes out at -112.7 kJ per mole of atoms. The value obtained for the total magnetization is 0.0 μB/f.u. Its total energy is -4.17 eV per atom. The calculation puts the volume at 1071.5 Å³ per cell.

Cell: 8.926 9.309 12.895 Å, 90.00 90.00 90.00°
Space group Imma (No. 74)
One atom of each set of equivalent atoms:
1 Cs 0.000 0.000 0.000 x4
2 Cs 0.250 0.250 0.250 x4
3 Tm 0.250 0.250 0.750 x4
4 Bi 0.000 0.000 0.500 x4
5 Se 0.000 0.047 0.734 x8
6 Se 0.217 0.250 0.525 x8

# 9
This record from the Alexandria database describes an optimized crystal structure of ZnGeN2. The functional is PBE-GGA.

Properties
The uncorrected formation energy comes out at 0.1 kJ per mole of atoms. The value obtained for the total magnetization is 0.0 μB/f.u. Its total energy is -5.63 eV per atom. The calculation puts the volume at 47.9 Å³ per cell.

Cell: 3.2141 3.2141 5.3574 Å, 90.00 90.00 120.00°
Space group P3m1 (No. 156)
One atom of each set of equivalent atoms:
1 Zn 0.0000 0.0000 0.0000 x1
2 Ge 0.3333 0.6667 0.4674 x1
3 N 0.0000 0.0000 0.6053 x1
4 N 0.3333 0.6667 0.1330 x1

# 10
This record from the Alexandria database describes an optimized crystal structure of Cs2SrLaF6. The functional is PBE-GGA.

Properties
The uncorrected formation energy comes out at -315.5 kJ per mole of atoms. The value obtained for the total magnetization is 0.2 μB/f.u. Its total energy is -5.22 eV per atom. The calculation puts the volume at 947.9 Å³ per cell.

Cell: 9.823 9.823 9.823 Å, 90.00 90.00 90.00°
Space group Fm-3m (No. 225)
One atom of each set of equivalent atoms:
1 Cs 0.250 0.250 0.250 x8
2 Sr 0.000 0.000 0.000 x4
3 La 0.000 0.000 0.500 x4
4 F 0.000 0.000 0.255 x24

# 11
This record from the Alexandria database describes an optimized crystal structure of ErTh5Sc2. The functional is PBE-GGA.

Properties
The formation energy comes out at 0.2421 eV/atom. The value obtained for the total magnetization is 0.0 μB/f.u. Its total energy is -6.55 eV per atom. The calculation puts the volume at 996.1 Å³ per cell.

Cell: 8.721 8.721 13.096 Å, 90.00 90.00 90.00°
Space group I4/mcm (No. 140)
One atom of each set of equivalent atoms:
1 Er 0.000 0.000 0.250 x4
2 Th 0.000 0.000 0.000 x4
3 Th 0.151 0.349 0.160 x16
4 Sc 0.138 0.362 0.500 x8

# 12
This record from the Alexandria database describes an optimized crystal structure of NaLiP2Cl. The functional is PBE-GGA.

Properties
The uncorrected formation energy comes out at 4.4 kJ per mole of atoms. The value obtained for the total magnetization is 0.5 μB/f.u. The value obtained for the excess energy over the best structure of this formula in the dataset is 0.000 eV/atom. Its total energy is -3.13 eV per atom. The calculation puts the volume at 116.1 Å³ per cell.

Cell: 4.192 4.192 6.608 Å, 90.00 90.00 90.00°
Space group P4/mmm (No. 123)
One atom of each set of equivalent atoms:
1 Na 0.000 0.000 0.000 x1
2 Li 0.500 0.500 0.500 x1
3 P 0.000 0.500 0.500 x2
4 Cl 0.500 0.500 0.000 x1